1.
Computed, not measured: crystalline ScTaPt2 at its relaxed geometry at the PBE-GGA level of DFT.

abc: 3.452 3.452 5.982
angles: 90.00 90.00 90.00
Fractional coordinates of all 4 atoms:
Sc 0.000 0.000 0.000
Ta 0.500 0.500 0.321
Pt 0.000 0.000 0.508
Pt 0.500 0.500 0.798

Values from the calculation:
Magnetization   0.00 μB/f.u.
E_form   -0.66 eV/atom
Space group   P4mm
Uncorrected energy   -32.92 eV/cell


2.
Computed, not measured: crystalline ScTa2Pt at its relaxed geometry at the PBE-GGA level of DFT.

abc: 3.350 3.350 6.514
angles: 90.00 90.00 90.00
Fractional coordinates of all 4 atoms:
Sc 0.000 0.000 0.000
Ta 0.000 0.000 0.502
Ta 0.500 0.500 0.279
Pt 0.500 0.500 0.757

Values from the calculation:
Magnetization   0.00 μB/f.u.
E_form   -0.37 eV/atom
Space group   P4mm
Excess energy over the best structure of this formula in the dataset   2 meV/atom
Uncorrected energy   -37.54 eV/cell


3.
Computed, not measured: crystalline ScTaPt2 at its relaxed geometry at the PBE-GGA level of DFT.

abc: 5.138 5.138 5.138
angles: 134.49 134.49 66.33
Fractional coordinates of all 4 atoms:
Sc 0.000 0.000 0.000
Ta 0.750 0.250 0.500
Pt 0.250 0.750 0.500
Pt 0.500 0.500 0.000

Values from the calculation:
Magnetization   0.00 μB/f.u.
E_form   -0.73 eV/atom
Space group   I-4m2
Uncorrected energy   -33.20 eV/cell